LiCr2Ag: optimized geometry, PBE.

Cell: 3.3616 3.3616 4.5919 Å, 90.00 90.00 90.00°
Last column: nearest neighbours and their distance in Å.
Space group P4/mmm (No. 123)
Symmetry-distinct sites (fractional):
1 Li 0.0000 0.0000 0.0000 [1 per cell]  4 Ag 2.38
2 Cr 0.0000 0.5000 0.5000 [2 per cell]  4 Cr 2.38
3 Ag 0.5000 0.5000 0.0000 [1 per cell]  4 Li 2.38

Calculated values
For the formation energy, the calculation gives 0.482 eV per atom. The energy above the most stable polymorph in this dataset comes out at 213 meV per atom.